(1)
Here is crystalline Na3CeBr6 at its relaxed geometry from Alexandria via LeMat-Bulk. Energies are from PBE-GGA.

abc: 7.4128 7.8270 13.2315
angles: 90.00 122.91 90.00
Closest atoms and distances in Å follow each position.
Element x y z (fractional)
Na (0.0000, 0.0000, 0.0000)  6 Br 2.89-3.14
Na (0.0000, 0.5000, 0.5000)  6 Br 2.89-3.14
Na (0.2072, 0.0758, 0.7303)  4 Br 2.97-3.08
Na (0.2072, 0.4242, 0.2303)  4 Br 2.97-3.08
Na (0.7928, 0.5758, 0.7697)  4 Br 2.97-3.08
Na (0.7928, 0.9242, 0.2697)  4 Br 2.97-3.08
Ce (0.5000, 0.0000, 0.5000)  6 Br 2.90-2.94
Ce (0.5000, 0.5000, 0.0000)  6 Br 2.90-2.94
Br (0.1109, 0.1802, 0.4375)  2 Na 2.89-2.97, 1 Ce 2.90
Br (0.1109, 0.3198, 0.9375)  2 Na 2.89-2.97, 1 Ce 2.90
Br (0.2389, 0.6890, 0.4120)  1 Ce 2.93, 2 Na 2.99-3.08
Br (0.2389, 0.8110, 0.9120)  1 Ce 2.93, 2 Na 2.99-3.08
Br (0.4029, 0.0762, 0.2578)  1 Ce 2.94, 3 Na 3.01-3.14
Br (0.4029, 0.4238, 0.7578)  1 Ce 2.94, 3 Na 3.01-3.14
Br (0.5971, 0.5762, 0.2422)  1 Ce 2.94, 3 Na 3.01-3.14
Br (0.5971, 0.9238, 0.7422)  1 Ce 2.94, 3 Na 3.01-3.14
Br (0.7611, 0.1890, 0.0880)  1 Ce 2.93, 2 Na 2.99-3.08
Br (0.7611, 0.3110, 0.5880)  1 Ce 2.93, 2 Na 2.99-3.08
Br (0.8891, 0.6802, 0.0625)  2 Na 2.89-2.97, 1 Ce 2.90
Br (0.8891, 0.8198, 0.5625)  2 Na 2.89-2.97, 1 Ce 2.90

Computed properties:
Its total magnetic moment is 0.100 μB per atom. The raw formation energy comes out at -1.646 eV/atom. The final energy comes out at -0.134 Ha/atom. For the density of states at the Fermi level, the calculation gives 0.252 states/eV per atom.

***

(2)
Here is crystalline Na2CeBr2O2 at its relaxed geometry from Alexandria via LeMat-Bulk. Energies are from PBE-GGA.

abc: 9.0372 9.0372 9.0372
angles: 152.26 152.26 39.63
Closest atoms and distances in Å follow each position.
Element x y z (fractional)
Na (0.1253, 0.1253, 0.0000)  4 O 3.04, 4 Br 3.18
Na (0.8747, 0.8747, 0.0000)  4 O 3.04, 4 Br 3.18
Ce (0.5000, 0.5000, 0.0000)  4 O 2.17
Br (0.3256, 0.3256, 0.0000)  1 Ce 2.97, 4 Na 3.18
Br (0.6744, 0.6744, 0.0000)  1 Ce 2.97, 4 Na 3.18
O (0.0000, 0.5000, 0.5000)  2 Ce 2.17
O (0.5000, 0.0000, 0.5000)  2 Ce 2.17

Computed properties:
Its total magnetic moment is 0.000 μB per atom. The raw formation energy comes out at -2.164 eV/atom. The final energy comes out at -0.194 Ha/atom. For the density of states at the Fermi level, the calculation gives 0.000 states/eV per atom.

***

(3)
Here is crystalline Na2CePbBr8 at its relaxed geometry from Alexandria via LeMat-Bulk. Energies are from PBE-GGA.

abc: 6.8312 8.9581 7.1389
angles: 90.00 93.53 90.00
Closest atoms and distances in Å follow each position.
Element x y z (fractional)
Na (0.0000, 0.2411, 0.0000)  6 Br 2.87-3.20
Na (0.0000, 0.7589, 0.0000)  6 Br 2.87-3.20
Ce (0.5000, 0.5000, 0.5000)  6 Br 2.80-2.82
Pb (0.5000, 0.0000, 0.5000)  6 Br 2.94-3.11
Br (0.2295, 0.0000, 0.1632)  2 Na 2.87, 1 Pb 2.94
Br (0.2397, 0.5000, 0.1809)  1 Ce 2.80, 2 Na 3.08
Br (0.2778, 0.2715, 0.6568)  1 Ce 2.82, 1 Pb 3.11
Br (0.2778, 0.7285, 0.6568)  1 Ce 2.82, 1 Pb 3.11
Br (0.7222, 0.2715, 0.3432)  1 Ce 2.82, 1 Pb 3.11
Br (0.7222, 0.7285, 0.3432)  1 Ce 2.82, 1 Pb 3.11
Br (0.7603, 0.5000, 0.8191)  1 Ce 2.80, 2 Na 3.08
Br (0.7705, 0.0000, 0.8368)  2 Na 2.87, 1 Pb 2.94

Computed properties:
Its total magnetic moment is 0.010 μB per atom. The raw formation energy comes out at -1.382 eV/atom. The final energy comes out at -0.129 Ha/atom. For the density of states at the Fermi level, the calculation gives 0.232 states/eV per atom.

***

(4)
Here is crystalline NaCePb2Br8 at its relaxed geometry from Alexandria via LeMat-Bulk. Energies are from PBE-GGA.

abc: 6.8758 9.0256 7.2255
angles: 90.00 90.62 90.00
Closest atoms and distances in Å follow each position.
Element x y z (fractional)
Na (0.0000, 0.0000, 0.0000)  6 Br 3.03-3.07
Ce (0.0000, 0.5000, 0.0000)  6 Br 2.93-2.95
Pb (0.5000, 0.2410, 0.5000)  6 Br 2.96-3.17
Pb (0.5000, 0.7590, 0.5000)  6 Br 2.96-3.17
Br (0.2328, 0.2575, 0.1554)  1 Ce 2.93, 1 Na 3.03, 1 Pb 3.08
Br (0.2328, 0.7425, 0.1554)  1 Ce 2.93, 1 Na 3.03, 1 Pb 3.08
Br (0.2466, 0.5000, 0.6690)  1 Ce 2.95, 2 Pb 3.17
Br (0.2630, 0.0000, 0.6600)  2 Pb 2.96, 1 Na 3.07
Br (0.7370, 0.0000, 0.3400)  2 Pb 2.96, 1 Na 3.07
Br (0.7534, 0.5000, 0.3310)  1 Ce 2.95, 2 Pb 3.17
Br (0.7672, 0.2575, 0.8446)  1 Ce 2.93, 1 Na 3.03, 1 Pb 3.08
Br (0.7672, 0.7425, 0.8446)  1 Ce 2.93, 1 Na 3.03, 1 Pb 3.08

Computed properties:
Its total magnetic moment is 0.083 μB per atom. The raw formation energy comes out at -1.307 eV/atom. The final energy comes out at -0.134 Ha/atom. For the density of states at the Fermi level, the calculation gives 0.662 states/eV per atom.

***

(5)
Here is crystalline Rb2NaCeBr6 at its relaxed geometry from Alexandria via LeMat-Bulk. Energies are from PBE-GGA.

abc: 8.2043 8.2043 8.2043
angles: 60.00 60.00 60.00
Closest atoms and distances in Å follow each position.
Element x y z (fractional)
Rb (0.2500, 0.2500, 0.2500)  12 Br 4.10
Rb (0.7500, 0.7500, 0.7500)  12 Br 4.10
Na (0.0000, 0.0000, 0.0000)  6 Br 2.91
Ce (0.5000, 0.5000, 0.5000)  6 Br 2.89
Br (0.2506, 0.2506, 0.7494)  1 Ce 2.89, 1 Na 2.91
Br (0.2506, 0.7494, 0.2506)  1 Ce 2.89, 1 Na 2.91
Br (0.2506, 0.7494, 0.7494)  1 Ce 2.89, 1 Na 2.91
Br (0.7494, 0.2506, 0.2506)  1 Ce 2.89, 1 Na 2.91
Br (0.7494, 0.2506, 0.7494)  1 Ce 2.89, 1 Na 2.91
Br (0.7494, 0.7494, 0.2506)  1 Ce 2.89, 1 Na 2.91

Computed properties:
Its total magnetic moment is 0.100 μB per atom. The raw formation energy comes out at -1.735 eV/atom. The final energy comes out at -0.134 Ha/atom. For the density of states at the Fermi level, the calculation gives 0.000 states/eV per atom.

***

(6)
Here is crystalline RbNaCeBr6 at its relaxed geometry from Alexandria via LeMat-Bulk. Energies are from PBE-GGA.

abc: 7.5926 7.5926 14.9441
angles: 90.00 90.00 120.00
Closest atoms and distances in Å follow each position.
Element x y z (fractional)
Rb (0.0000, 0.0000, 0.0000)  6 Br 3.50
Rb (0.0000, 0.0000, 0.5000)  6 Br 3.50
Na (0.3333, 0.6667, 0.2500)  6 Br 3.01
Na (0.6667, 0.3333, 0.7500)  6 Br 3.01
Ce (0.3333, 0.6667, 0.7500)  6 Br 2.81
Ce (0.6667, 0.3333, 0.2500)  6 Br 2.81
Br (0.0205, 0.3780, 0.6413)  1 Ce 2.81, 1 Na 3.01
Br (0.0205, 0.6425, 0.8587)  1 Ce 2.81, 1 Na 3.01
Br (0.3575, 0.3780, 0.8587)  1 Ce 2.81, 1 Na 3.01
Br (0.3575, 0.9795, 0.6413)  1 Ce 2.81, 1 Na 3.01
Br (0.3780, 0.0205, 0.1413)  1 Ce 2.81, 1 Na 3.01
Br (0.3780, 0.3575, 0.3587)  1 Ce 2.81, 1 Na 3.01
Br (0.6220, 0.6425, 0.6413)  1 Ce 2.81, 1 Na 3.01
Br (0.6220, 0.9795, 0.8587)  1 Ce 2.81, 1 Na 3.01
Br (0.6425, 0.0205, 0.3587)  1 Ce 2.81, 1 Na 3.01
Br (0.6425, 0.6220, 0.1413)  1 Ce 2.81, 1 Na 3.01
Br (0.9795, 0.3575, 0.1413)  1 Ce 2.81, 1 Na 3.01
Br (0.9795, 0.6220, 0.3587)  1 Ce 2.81, 1 Na 3.01

Computed properties:
Its total magnetic moment is 0.000 μB per atom. The raw formation energy comes out at -1.644 eV/atom. The final energy comes out at -0.135 Ha/atom.

***

Question: What is the formula in the sixth record?
Answer: RbNaCeBr6